Record 1
Here is CeZrAgMo after structural relaxation from Alexandria via LeMat-Bulk. Energies are from PBE.

Cell lengths 4.922, 4.922, 4.922 Å; angles 60.00, 60.00, 60.00 degrees
Site moments in Bohr magnetons follow the coordinates.
Sites, in units of the cell vectors:
Ce (0.750, 0.750, 0.750)  0.19
Zr (0.250, 0.250, 0.250)  0.04
Ag (0.500, 0.500, 0.500)  0.00
Mo (0.000, 0.000, 0.000)  -0.04

Summary:
energy of formation from the pure elements = 0.106 eV/atom
crystal system = cubic
space-group type = F-43m


Record 2
Here is Ce2AgN after structural relaxation from Alexandria via LeMat-Bulk. Energies are from PBE.

Cell lengths 3.484, 3.484, 8.250 Å; angles 77.81, 77.81, 60.00 degrees
Site moments in Bohr magnetons follow the coordinates.
Sites, in units of the cell vectors:
Ag (0.501, 0.501, 0.498)  0.02
Ce (0.274, 0.274, 0.178)  0.51
Ce (0.059, 0.059, 0.823)  0.57
N (0.666, 0.666, 0.001)  -0.01

Summary:
crystal system = trigonal
space-group type = R3m
formation energy from raw total energies = -702 meV/atom


Record 3
Here is Ce2AgN after structural relaxation from Alexandria via LeMat-Bulk. Energies are from PBE.

Cell lengths 3.291, 3.291, 9.392 Å; angles 79.91, 79.91, 60.00 degrees
Sites, in units of the cell vectors:
Ce (0.887, 0.887, 0.340)
Ce (0.113, 0.113, 0.660)
Ag (0.000, 0.000, 0.000)
N (0.500, 0.500, 0.500)

Summary:
crystal system = trigonal
space-group type = R-3m
formation energy from raw total energies = -527 meV/atom


Record 4
Here is Ce2AgN after structural relaxation from Alexandria via LeMat-Bulk. Energies are from PBE.

Cell lengths 3.051, 3.051, 7.935 Å; angles 90.00, 90.00, 90.00 degrees
Sites, in units of the cell vectors:
Ce (0.000, 0.000, 0.815)
Ce (0.000, 0.000, 0.185)
N (0.500, 0.500, 0.000)
Ag (0.500, 0.500, 0.500)

Summary:
crystal system = tetragonal
space-group type = P4/mmm
formation energy from raw total energies = -477 meV/atom


Record 5
Here is Ce6Ag2N after structural relaxation from Alexandria via LeMat-Bulk. Energies are from PBE.

Cell lengths 6.429, 6.675, 9.717 Å; angles 90.00, 98.66, 90.00 degrees
Sites, in units of the cell vectors:
Ce (0.085, 0.000, 0.761)
Ce (0.712, 0.253, 0.493)
Ce (0.788, 0.753, 0.007)
Ce (0.712, 0.748, 0.493)
Ce (0.915, 0.000, 0.239)
Ce (0.415, 0.500, 0.739)
Ce (0.585, 0.500, 0.261)
Ce (0.212, 0.752, 0.993)
Ce (0.288, 0.747, 0.507)
Ce (0.788, 0.248, 0.007)
Ce (0.212, 0.247, 0.993)
Ce (0.288, 0.252, 0.507)
N (0.500, 0.500, 0.000)
N (0.000, 0.000, 0.500)
Ag (0.432, 0.000, 0.245)
Ag (0.068, 0.500, 0.255)
Ag (0.932, 0.500, 0.745)
Ag (0.568, 0.000, 0.755)

Summary:
crystal system = monoclinic
space-group type = C2/m
formation energy from raw total energies = -274 meV/atom


Record 6
Here is Ce12Ag3N5 after structural relaxation from Alexandria via LeMat-Bulk. Energies are from PBE.

Cell lengths 13.665, 13.665, 13.665 Å; angles 109.47, 109.47, 109.47 degrees
Site moments in Bohr magnetons follow the coordinates.
Sites, in units of the cell vectors:
Ce (0.410, 0.304, 0.316)  0.74
Ce (0.894, 0.590, 0.906)  0.74
Ce (0.094, 0.910, 0.106)  0.74
Ce (0.012, 0.406, 0.816)  0.74
Ce (0.910, 0.094, 0.606)  0.74
Ce (0.804, 0.316, 0.910)  0.74
Ce (0.488, 0.804, 0.894)  0.74
Ce (0.606, 0.012, 0.196)  0.74
Ce (0.184, 0.094, 0.988)  0.74
Ce (0.590, 0.696, 0.684)  0.74
Ce (0.696, 0.590, 0.184)  0.74
Ce (0.988, 0.394, 0.304)  0.74
Ce (0.304, 0.894, 0.988)  0.74
Ce (0.684, 0.488, 0.594)  0.74
Ce (0.406, 0.394, 0.590)  0.74
Ce (0.684, 0.196, 0.590)  0.74
Ce (0.094, 0.184, 0.488)  0.74
Ce (0.816, 0.906, 0.012)  0.74
Ce (0.196, 0.684, 0.090)  0.74
Ce (0.184, 0.090, 0.696)  0.74
Ce (0.894, 0.304, 0.488)  0.74
Ce (0.590, 0.894, 0.406)  0.74
Ce (0.090, 0.906, 0.394)  0.74
Ce (0.512, 0.196, 0.106)  0.74
Ce (0.406, 0.012, 0.316)  0.74
Ce (0.304, 0.410, 0.816)  0.74
Ce (0.906, 0.816, 0.512)  0.74
Ce (0.512, 0.316, 0.906)  0.74
Ce (0.488, 0.684, 0.094)  0.74
Ce (0.594, 0.988, 0.684)  0.74
Ce (0.906, 0.090, 0.894)  0.74
Ce (0.316, 0.512, 0.406)  0.74
Ce (0.606, 0.594, 0.910)  0.74
Ce (0.106, 0.410, 0.094)  0.74
Ce (0.316, 0.804, 0.410)  0.74
Ce (0.910, 0.816, 0.804)  0.74
Ce (0.816, 0.910, 0.304)  0.74
Ce (0.594, 0.606, 0.410)  0.74
Ce (0.394, 0.988, 0.804)  0.74
Ce (0.196, 0.512, 0.606)  0.74
Ce (0.410, 0.106, 0.594)  0.74
Ce (0.394, 0.406, 0.090)  0.74
Ce (0.696, 0.106, 0.012)  0.74
Ce (0.106, 0.696, 0.512)  0.74
Ce (0.090, 0.184, 0.196)  0.74
Ce (0.804, 0.488, 0.394)  0.74
Ce (0.012, 0.606, 0.696)  0.74
Ce (0.988, 0.594, 0.184)  0.74
N (0.500, 0.000, 0.000)  -0.07
N (0.625, 0.750, 0.875)  -0.04
N (0.250, 0.375, 0.625)  -0.04
N (0.000, 0.000, 0.000)  -0.07
N (0.375, 0.250, 0.125)  -0.04
N (0.625, 0.875, 0.250)  -0.04
N (0.750, 0.125, 0.875)  -0.04
N (0.875, 0.250, 0.625)  -0.04
N (0.500, 0.500, 0.500)  -0.07
N (0.000, 0.000, 0.500)  -0.07
N (0.875, 0.625, 0.750)  -0.04
N (0.250, 0.875, 0.125)  -0.04
N (0.500, 0.500, 0.000)  -0.07
N (0.750, 0.625, 0.375)  -0.04
N (0.125, 0.375, 0.250)  -0.04
N (0.000, 0.500, 0.000)  -0.07
N (0.500, 0.000, 0.500)  -0.07
N (0.375, 0.125, 0.750)  -0.04
N (0.125, 0.750, 0.375)  -0.04
N (0.000, 0.500, 0.500)  -0.07
Ag (0.625, 0.250, 0.375)  0.00
Ag (0.625, 0.375, 0.750)  0.00
Ag (0.125, 0.875, 0.750)  0.00
Ag (0.250, 0.625, 0.875)  0.00
Ag (0.750, 0.875, 0.625)  0.00
Ag (0.750, 0.375, 0.125)  0.00
Ag (0.375, 0.750, 0.625)  0.00
Ag (0.250, 0.125, 0.375)  0.00
Ag (0.375, 0.625, 0.250)  0.00
Ag (0.875, 0.125, 0.250)  0.00
Ag (0.125, 0.250, 0.875)  0.00
Ag (0.875, 0.750, 0.125)  0.00

Summary:
crystal system = cubic
space-group type = Ia-3d
formation energy from raw total energies = -576 meV/atom


no.,E (eV per atom),Fermi-level density of states (states/eV/cell)
1,-6.935,4.5
2,-6.463,6.9
3,-6.288,7.1
4,-6.238,5.1
5,-5.789,36.0
6,-6.645,242.9